(1)
Computed, not measured: a relaxed structure of PmPaB at the PBE level of DFT.

Its crystal system is cubic. Its total moment is 0.162 μB/cell. The total energy comes out at -80.09 eV per cell.

The space group is F-43m (No. 216) and the conventional cell measures 6.3449, 6.3449 and 6.3449 Å, with angles of 90.00, 90.00 and 90.00 degrees. The inequivalent atoms are Pm at (0.0000, 0.0000, 0.0000), Pa at (0.0000, 0.0000, 0.5000) and B at (0.2500, 0.2500, 0.7500).



(2)
Computed, not measured: a relaxed structure of Ba2TcHgSe6 at the PBE level of DFT.

Its crystal system is triclinic. As for the offset from the most stable computed form: 0 meV/atom. Its total moment is 1.675 μB/cell.

The space group is P-1 (No. 2) and the conventional cell measures 6.3364, 7.0117 and 7.6867 Å, with angles of 74.88, 66.04 and 63.58 degrees. The inequivalent atoms are Ba at (0.2374, 0.2857, 0.2340), Tc at (0.5000, 0.5000, 0.5000), Hg at (0.0000, 0.0000, 0.0000), Se at (0.1779, 0.7701, 0.3544), Se at (0.2608, 0.6373, 0.8471) and Se at (0.3094, 0.2261, 0.6448).



(3)
Computed, not measured: a relaxed structure of TaBrCl2O at the PBE level of DFT.

Its crystal system is monoclinic. As for the offset from the most stable computed form: 3 meV/atom. Its total moment is 0.019 μB/cell.

The space group is C2 (No. 5) and the conventional cell measures 13.7184, 3.8409 and 11.7354 Å, with angles of 90.00, 120.87 and 90.00 degrees. The inequivalent atoms are Ta at (0.1264, 0.0000, 0.1986), Br at (0.1041, 0.9979, 0.9547), Cl at (0.1086, 0.9983, 0.3824), Cl at (0.1803, 0.4982, 0.7078) and O at (0.1144, 0.4990, 0.1796).